(i)
Here is a relaxed TbNdHg4 crystal from Alexandria. Energies are from PBE.

POSCAR file:
```
TbNdHg4
1.0
4.551 0.000 0.000
0.000 4.565 0.000
0.000 0.000 8.684
Tb Nd Hg
1 1 4
Direct
0.000 0.000 0.000
0.500 0.500 0.500
0.000 0.500 0.241
0.000 0.500 0.759
0.500 0.000 0.242
0.500 0.000 0.758
```

Summary:
Symmetry   Pmmm, No. 47
Calculated volume   30.07 A^3/atom

=====

(ii)
Here is a relaxed TbNdHg4 crystal from Alexandria. Energies are from PBE.

POSCAR file:
```
TbNdHg4
1.0
0.000 4.240 4.240
4.240 0.000 4.240
4.240 4.240 0.000
Tb Nd Hg
1 1 4
Direct
0.000 0.000 0.000
0.250 0.250 0.250
0.125 0.625 0.625
0.625 0.125 0.625
0.625 0.625 0.125
0.625 0.625 0.625
```

Summary:
Symmetry   F-43m, No. 216
Calculated volume   25.40 A^3/atom

=====

Which structure is the least stable? The one labeled (i).

=====

(i)
Here is a relaxed TbNdHg3 crystal from Alexandria. Energies are from PBE.

POSCAR file:
```
TbNdHg3
1.0
1.799 -14.686 0.000
1.799 14.686 0.000
0.000 0.000 4.987
Tb Nd Hg
2 2 6
Direct
0.210 0.790 0.750
0.790 0.210 0.250
0.076 0.924 0.250
0.924 0.076 0.750
0.318 0.682 0.750
0.377 0.623 0.250
0.476 0.524 0.250
0.524 0.476 0.750
0.623 0.377 0.750
0.682 0.318 0.250
```

Summary:
Symmetry   Cmcm, No. 63
Calculated volume   26.34 A^3/atom

=====

(ii)
Here is a relaxed TbNdHg3 crystal from Alexandria. Energies are from PBE.

POSCAR file:
```
TbNdHg3
1.0
7.099 0.000 0.000
-3.550 6.148 0.000
0.000 0.000 6.744
Tb Nd Hg
2 2 6
Direct
0.000 0.000 0.000
0.000 0.000 0.500
0.333 0.667 0.250
0.667 0.333 0.750
0.199 0.398 0.750
0.199 0.801 0.750
0.398 0.199 0.250
0.602 0.801 0.750
0.801 0.199 0.250
0.801 0.602 0.250
```

Summary:
Symmetry   P6_3/mmc, No. 194
Calculated volume   29.44 A^3/atom

=====

Which structure is the least stable? The one labeled (ii).

=====

(i)
Here is a relaxed TbNdHg2 crystal from Alexandria. Energies are from PBE.

POSCAR file:
```
TbNdHg2
1.0
3.765 0.000 0.000
0.000 3.765 0.000
0.000 0.000 7.667
Tb Nd Hg
1 1 2
Direct
0.000 0.000 0.000
0.000 0.000 0.500
0.500 0.500 0.234
0.500 0.500 0.766
```

Summary:
Symmetry   P4/mmm, No. 123
Calculated volume   27.18 A^3/atom

=====

(ii)
Here is a relaxed TbNdHg2 crystal from Alexandria. Energies are from PBE.

POSCAR file:
```
TbNdHg2
1.0
3.858 0.000 0.000
-1.929 3.341 0.000
0.000 0.000 27.534
Tb Nd Hg
3 3 6
Direct
0.000 0.000 0.000
0.333 0.667 0.667
0.667 0.333 0.333
0.000 0.000 0.166
0.333 0.667 0.833
0.667 0.333 0.500
0.000 0.000 0.586
0.000 0.000 0.747
0.333 0.667 0.252
0.333 0.667 0.414
0.667 0.333 0.081
0.667 0.333 0.919
```

Summary:
Symmetry   R3m, No. 160
Calculated volume   29.57 A^3/atom

=====

(iii)
Here is a relaxed TbNdHg2 crystal from Alexandria. Energies are from PBE.

POSCAR file:
```
TbNdHg2
1.0
7.581 0.000 0.000
0.000 7.581 0.000
0.000 0.000 7.581
Tb Nd Hg
4 4 8
Direct
0.000 0.000 0.000
0.000 0.500 0.500
0.500 0.000 0.500
0.500 0.500 0.000
0.000 0.000 0.500
0.000 0.500 0.000
0.500 0.000 0.000
0.500 0.500 0.500
0.250 0.250 0.250
0.250 0.250 0.750
0.250 0.750 0.250
0.250 0.750 0.750
0.750 0.250 0.250
0.750 0.250 0.750
0.750 0.750 0.250
0.750 0.750 0.750
```

Summary:
Symmetry   Fm-3m, No. 225
Calculated volume   27.23 A^3/atom

=====

Which structure is the least stable? The one labeled (ii).